Entry 1:
Density functional theory data (PBE-GGA) for crystalline FeP2IrS at its relaxed geometry.

```
FeP2IrS
1.0
4.470 0.000 0.000
0.000 4.470 0.000
0.000 0.000 5.106
P Ir S Fe
2 1 1 1
direct
0.500 0.000 0.000
0.000 0.500 0.000
0.000 0.000 0.000
0.000 0.000 0.500
0.500 0.500 0.500
```

uncorrected formation energy = 946 meV per atom
relative energy among the computed polymorphs = 0.753 eV per formula unit

=====

Entry 2:
Density functional theory data (PBE-GGA) for crystalline AcTmInIr at its relaxed geometry.

```
AcTmInIr
1.0
-4.136 -2.763 1.789
-3.529 -1.977 -3.403
-0.247 -5.216 -0.819
Ac Tm In Ir
1 1 1 1
direct
0.250 0.250 0.250
0.750 0.750 0.750
0.500 0.500 0.500
0.000 0.000 0.000
```

formation enthalpy at 0 K = -0.350 eV/atom

=====

Entry 3:
Density functional theory data (PBE-GGA) for crystalline ThSc3Sb4 at its relaxed geometry.

```
ThSc3Sb4
1.0
-4.129 1.079 -0.359
-1.846 -7.133 -0.247
-1.244 -2.469 6.835
Sc Sb Th
3 4 1
direct
0.000 0.000 0.000
0.000 0.500 0.500
0.500 0.000 0.500
0.000 0.233 0.268
0.000 0.768 0.732
0.500 0.759 0.258
0.500 0.242 0.742
0.500 0.500 0.000
```

uncorrected formation energy = -921 meV per atom

=====

Entry 4:
Density functional theory data (PBE-GGA) for crystalline KLi2Ta at its relaxed geometry.

```
KLi2Ta
1.0
7.015 -0.005 -0.001
3.510 6.074 0.001
-4.050 -5.137 2.533
Li Ta K
2 1 1
direct
0.965 0.965 0.000
0.535 0.535 0.000
0.750 0.250 0.500
0.250 0.750 0.500
```

relative energy among the computed polymorphs = 1.342 eV per formula unit
formation enthalpy at 0 K = 0.967 eV/atom

=====

Entry 5:
Density functional theory data (PBE-GGA) for crystalline ZnMoRh2 at its relaxed geometry.

```
ZnMoRh2
1.0
4.932 -0.004 -0.020
2.129 4.448 0.020
-3.521 -2.237 2.630
Mo Rh Zn
1 2 1
direct
0.250 0.750 0.500
0.750 0.250 0.500
0.000 0.000 0.000
0.500 0.500 0.000
```

formation enthalpy at 0 K = -0.153 eV/atom

=====

Entry 6:
Density functional theory data (PBE-GGA) for crystalline TaAlRh2 at its relaxed geometry.

```
TaAlRh2
1.0
2.886 0.001 0.000
-0.001 2.886 0.000
0.000 0.000 7.297
Al Rh Ta
1 2 1
direct
0.500 0.500 0.778
0.500 0.500 0.243
0.000 0.000 0.977
0.000 0.000 0.501
```

formation enthalpy at 0 K = -0.406 eV/atom

=====

Entry 7:
Density functional theory data (PBE-GGA) for crystalline NaAlSn3 at its relaxed geometry.

```
NaAlSn3
1.0
5.407 0.000 0.000
0.000 5.407 0.000
0.000 0.000 5.407
Sn Na Al
3 1 1
direct
0.000 0.000 0.500
0.500 0.000 0.000
0.000 0.500 0.000
0.000 0.000 0.000
0.500 0.500 0.500
```

relative energy among the computed polymorphs = 3.610 eV per formula unit
formation enthalpy at 0 K = 0.770 eV/atom

=====

Entry 8:
Density functional theory data (PBE-GGA) for crystalline BaEr3Rh at its relaxed geometry.

```
BaEr3Rh
1.0
-1.022 5.293 -1.088
-2.122 0.625 5.035
4.970 1.355 1.926
Ba Rh Er
1 1 3
direct
0.500 0.500 0.500
0.000 0.000 0.000
0.500 0.000 0.000
0.000 0.500 0.000
0.000 0.000 0.500
```

formation enthalpy at 0 K = -0.291 eV/atom

=====

Entry 9:
Density functional theory data (PBE-GGA) for crystalline ZrScTc at its relaxed geometry.

```
ZrScTc
1.0
-1.003 -1.871 -2.503
6.357 -0.567 0.028
-0.467 -5.040 3.956
Sc Tc Zr
2 2 2
direct
0.369 0.738 0.750
0.631 0.262 0.250
0.000 0.000 0.000
0.000 0.000 0.500
0.379 0.759 0.250
0.621 0.241 0.750
```

relative energy among the computed polymorphs = 0.321 eV per formula unit
formation enthalpy at 0 K = -0.121 eV/atom

=====

Entry 10:
Density functional theory data (PBE-GGA) for crystalline GaHgSb at its relaxed geometry.

```
GaHgSb
1.0
4.836 0.000 0.000
2.418 4.188 0.000
2.418 1.396 3.949
Ga Sb Hg
1 1 1
direct
0.250 0.250 0.250
0.000 0.000 0.000
0.500 0.500 0.500
```

uncorrected formation energy = 93 meV per atom
relative energy among the computed polymorphs = 0.000 eV per formula unit

=====

Entry 11:
Density functional theory data (PBE-GGA) for crystalline Er2B3Ir2 at its relaxed geometry.

```
Er2B3Ir2
1.0
4.036 0.000 0.000
-2.018 4.805 0.214
0.000 -2.487 5.496
Ir B Er
2 3 2
direct
0.210 0.420 0.344
0.790 0.580 0.656
0.370 0.739 0.731
0.630 0.261 0.269
0.500 0.000 0.000
0.891 0.782 0.191
0.109 0.218 0.809
```

formation enthalpy at 0 K = -0.438 eV/atom

=====

Entry 12:
Density functional theory data (PBE-GGA) for crystalline MnTc2Ag at its relaxed geometry.

```
MnTc2Ag
1.0
4.988 -0.126 0.000
-1.956 4.590 0.000
0.000 0.000 2.613
Ag Tc Mn
1 2 1
direct
0.500 0.000 0.500
0.000 0.000 0.000
0.500 0.500 0.000
0.000 0.500 0.500
```

relative energy among the computed polymorphs = 0.830 eV per formula unit
formation enthalpy at 0 K = 0.453 eV/atom

=====

Entry 13:
Density functional theory data (PBE-GGA) for crystalline Ho2TmPu3Te6 at its relaxed geometry.

```
Ho2TmPu3Te6
1.0
4.362 0.000 0.000
0.000 8.771 0.328
-2.181 -2.510 9.207
Pu Te Tm Ho
3 6 1 2
direct
0.500 0.500 0.000
0.832 0.164 0.665
0.168 0.836 0.335
0.668 0.582 0.337
0.664 0.088 0.329
0.999 0.756 0.997
0.336 0.912 0.671
0.332 0.418 0.663
0.001 0.244 0.003
0.500 0.000 0.000
0.833 0.663 0.666
0.167 0.337 0.334
```

uncorrected formation energy = -1182 meV per atom

=====

Entry 14:
Density functional theory data (PBE-GGA) for crystalline Cr2HPdAu at its relaxed geometry.

```
Cr2HPdAu
1.0
-4.025 -3.081 0.340
2.742 -3.297 2.585
-1.367 2.264 4.337
Au Cr Pd H
1 2 1 1
direct
0.000 0.000 0.000
0.500 0.000 0.000
0.000 0.000 0.500
0.000 0.500 0.000
0.500 0.500 0.500
```

relative energy among the computed polymorphs = 6.749 eV per formula unit

=====

Entry 15:
Density functional theory data (PBE-GGA) for crystalline Ni2RhPbN at its relaxed geometry.

```
Ni2RhPbN
1.0
3.882 0.000 0.000
0.000 3.882 0.000
0.000 0.000 4.420
Rh Ni N Pb
1 2 1 1
direct
0.000 0.000 0.500
0.000 0.500 0.000
0.500 0.000 0.000
0.000 0.000 0.000
0.500 0.500 0.500
```

uncorrected formation energy = 191 meV per atom

=====

Entry 16:
Density functional theory data (PBE-GGA) for crystalline U3Ge4Pd7 at its relaxed geometry.

```
U3Ge4Pd7
1.0
4.022 0.000 1.015
1.495 7.511 2.555
0.025 -0.060 8.381
Pd U Ge
7 3 4
direct
0.167 0.597 0.068
0.691 0.144 0.474
0.000 0.000 0.000
0.833 0.403 0.932
0.489 0.221 0.801
0.511 0.779 0.199
0.309 0.856 0.526
0.319 0.187 0.175
0.681 0.813 0.825
0.000 0.500 0.500
0.892 0.888 0.328
0.656 0.440 0.247
0.108 0.112 0.672
0.344 0.560 0.753
```

formation enthalpy at 0 K = -0.481 eV/atom

=====

Entry 17:
Density functional theory data (PBE-GGA) for crystalline K3TaB at its relaxed geometry.

```
K3TaB
1.0
-2.127 3.956 3.837
3.666 -2.056 4.151
4.115 3.876 -1.714
K B Ta
3 1 1
direct
0.000 0.500 0.000
0.000 0.000 0.500
0.500 0.000 0.000
0.000 0.000 0.000
0.500 0.500 0.500
```

relative energy among the computed polymorphs = 0.000 eV per formula unit
formation enthalpy at 0 K = 1.977 eV/atom

=====

Entry 18:
Density functional theory data (PBE-GGA) for crystalline ScNbZnRe at its relaxed geometry.

```
ScNbZnRe
1.0
-1.247 -0.269 -4.400
2.364 -2.652 -2.893
-1.869 -3.857 -1.619
Sc Zn Re Nb
1 1 1 1
direct
0.250 0.250 0.250
0.000 0.000 0.000
0.500 0.500 0.500
0.750 0.750 0.750
```

formation enthalpy at 0 K = -0.163 eV/atom

=====

Entry 19:
Density functional theory data (PBE-GGA) for crystalline Zr2Si4Pt3Rh at its relaxed geometry.

```
Zr2Si4Pt3Rh
1.0
-2.595 -0.997 -2.722
0.952 -3.744 0.463
-7.524 -0.983 7.531
Pt Si Rh Zr
3 4 1 2
direct
0.000 0.500 0.139
0.500 0.000 0.861
0.000 0.000 0.500
0.000 0.000 0.000
0.000 0.500 0.360
0.500 0.000 0.640
0.500 0.500 0.000
0.500 0.500 0.500
0.000 0.500 0.725
0.500 0.000 0.275
```

uncorrected formation energy = -957 meV per atom

=====

Entry 20:
Density functional theory data (PBE-GGA) for crystalline Ti4SiGeH at its relaxed geometry.

```
Ti4SiGeH
1.0
-4.887 1.741 0.566
-0.935 -3.762 3.502
4.608 3.495 4.984
Si Ti H Ge
2 8 2 2
direct
0.386 0.250 0.773
0.614 0.750 0.227
0.568 0.250 0.137
0.000 0.000 0.500
0.500 0.000 0.500
0.000 0.500 0.500
0.500 0.500 0.500
0.072 0.750 0.144
0.432 0.750 0.863
0.928 0.250 0.856
0.294 0.750 0.588
0.706 0.250 0.412
0.111 0.250 0.222
0.889 0.750 0.778
```

calculated total energy = -7.056 eV per atom

=====

| no. | Fermi-level density of states (states/eV/f.u.) |
| --- | --- |
| 1 | 6.7 |
| 2 | 3.7 |
| 3 | 1.9 |
| 4 | 3.7 |
| 5 | 2.6 |
| 6 | 4.4 |
| 7 | 3.8 |
| 8 | 5.9 |
| 9 | 1.9 |
| 10 | 1.3 |
| 11 | 3.7 |
| 12 | 3.9 |
| 13 | 34.1 |
| 14 | 3.1 |
| 15 | 5.6 |
| 16 | 24.7 |
| 17 | 8.1 |
| 18 | 3.4 |
| 19 | 2.8 |
| 20 | 6.1 |